Version 1
This record from Alexandria via LeMat-Bulk describes a relaxed structure of Mg3Te. The functional is GGA-PBE.

a = 6.0980 Å, b = 6.0980 Å, c = 6.0980 Å
α = 138.91°, β = 138.91°, γ = 59.51°
Last column: nearest neighbours and their distance in Å.
Fractional positions:
Te  0.0000  0.0000  0.0000  4 Mg 3.03
Mg  0.7500  0.2500  0.5000  4 Mg 3.03
Mg  0.5000  0.5000  0.0000  4 Te 3.03
Mg  0.2500  0.7500  0.5000  4 Mg 3.03

Version 2
This record from Alexandria via LeMat-Bulk describes a relaxed structure of Mg3Te. The functional is GGA-PBE.

a = 6.6704 Å, b = 6.6704 Å, c = 5.5625 Å
α = 90.00°, β = 90.00°, γ = 125.27°
Last column: nearest neighbours and their distance in Å.
Fractional positions:
Mg  0.0773  0.9227  0.7500  2 Te 3.13, 8 Mg 3.13-3.33
Mg  0.9005  0.5961  0.2500  3 Te 3.02-3.18, 5 Mg 3.05-3.30
Mg  0.0995  0.4039  0.7500  3 Te 3.02-3.18, 5 Mg 3.05-3.30
Mg  0.5961  0.9005  0.7500  3 Te 3.02-3.18, 5 Mg 3.05-3.30
Mg  0.4039  0.0995  0.2500  3 Te 3.02-3.18, 5 Mg 3.05-3.30
Mg  0.9227  0.0773  0.2500  2 Te 3.13, 8 Mg 3.13-3.33
Te  0.6285  0.3715  0.7500  8 Mg 3.02-3.18
Te  0.3715  0.6285  0.2500  8 Mg 3.02-3.18

Structures ranked by computed energy, the most stable listed first: version 2, version 1.